Record 1
Compound: TaGaCuRe
Source: OQMD
Functional: PBE
Structure: relaxed

The value obtained for the density is 13.8 Mg/m³. The value obtained for the uncorrected energy is -7.70 eV/atom.

The structure in CIF format:
```
data_TaGaCuRe
_chemical_formula_sum 'Ta4 Ga4 Cu4 Re4'
_cell_length_a 6.2268
_cell_length_b 6.2268
_cell_length_c 6.2268
_cell_angle_alpha 90.00
_cell_angle_beta 90.00
_cell_angle_gamma 90.00
_symmetry_space_group_name_H-M 'F -4 3 m'
_symmetry_Int_Tables_number 216
_symmetry_space_group_name_Hall 'F -4 2 3'
loop_
_atom_site_label
_atom_site_fract_x
_atom_site_fract_y
_atom_site_fract_z
Ta1 0.0000 0.0000 0.0000
Ga1 0.0000 0.0000 0.5000
Cu1 0.2500 0.2500 0.7500
Re1 0.2500 0.2500 0.2500
```

Record 2
Compound: GaCuReTc
Source: OQMD
Functional: PBE
Structure: relaxed

The value obtained for the density is 12.4 Mg/m³. The value obtained for the uncorrected energy is -7.25 eV/atom.

The structure in CIF format:
```
data_GaCuReTc
_chemical_formula_sum 'Ga4 Cu4 Re4 Tc4'
_cell_length_a 6.0748
_cell_length_b 6.0748
_cell_length_c 6.0748
_cell_angle_alpha 90.00
_cell_angle_beta 90.00
_cell_angle_gamma 90.00
_symmetry_space_group_name_H-M 'F -4 3 m'
_symmetry_Int_Tables_number 216
_symmetry_space_group_name_Hall 'F -4 2 3'
loop_
_atom_site_label
_atom_site_fract_x
_atom_site_fract_y
_atom_site_fract_z
Ga1 0.0000 0.0000 0.0000
Cu1 0.2500 0.2500 0.2500
Re1 0.0000 0.0000 0.5000
Tc1 0.2500 0.2500 0.7500
```

Record 3
Compound: GaCuReTc
Source: OQMD
Functional: PBE
Structure: relaxed

The value obtained for the density is 12.6 Mg/m³. The value obtained for the uncorrected energy is -7.07 eV/atom.

The structure in CIF format:
```
data_GaCuReTc
_chemical_formula_sum 'Ga4 Cu4 Re4 Tc4'
_cell_length_a 6.0363
_cell_length_b 6.0363
_cell_length_c 6.0363
_cell_angle_alpha 90.00
_cell_angle_beta 90.00
_cell_angle_gamma 90.00
_symmetry_space_group_name_H-M 'F -4 3 m'
_symmetry_Int_Tables_number 216
_symmetry_space_group_name_Hall 'F -4 2 3'
loop_
_atom_site_label
_atom_site_fract_x
_atom_site_fract_y
_atom_site_fract_z
Ga1 0.0000 0.0000 0.0000
Cu1 0.0000 0.0000 0.5000
Re1 0.2500 0.2500 0.7500
Tc1 0.2500 0.2500 0.2500
```